Model a:
# Li3TiMn4O8

A PBEsol-optimized structure of Li3TiMn4O8 (meta-GGA SCAN, the Alexandria database).

Calculated values
As for the symmetry: C2/m (12). Its total magnetization is 27.70 μB per cell.

Lattice parameters (Å, degrees): 5.9471 5.9469 9.9486 89.86 73.76 57.56
With the nearest neighbours (Å) after each atom.
Atoms (fractional coordinates):
O: 0.7387 0.6252 0.3867  1 Ti 1.94, 2 Mn 1.99, 3 Li 2.02-2.14
O: 0.7760 0.1504 0.8742  2 Mn 1.95, 2 Li 2.10, 1 Ti 2.16
O: 0.7572 0.8727 0.6154  4 Mn 1.99-2.05, 2 Li 2.13
O: 0.2613 0.3748 0.6133  1 Ti 1.94, 2 Mn 1.99, 3 Li 2.02-2.14
O: 0.2428 0.1273 0.3846  4 Mn 1.99-2.05, 2 Li 2.13
O: 0.7607 0.3791 0.6208  1 Ti 2.01, 3 Mn 2.03-2.06, 2 Li 2.05-2.10
O: 0.7365 0.8572 0.1348  2 Mn 2.01-2.05, 2 Li 2.03-2.07, 1 Ti 2.05
O: 0.2581 0.8816 0.6208  1 Ti 2.01, 3 Mn 2.03-2.06, 2 Li 2.05-2.10
O: 0.2225 0.3711 0.1348  2 Mn 2.01-2.05, 2 Li 2.03-2.06, 1 Ti 2.05
O: 0.2393 0.6209 0.3792  1 Ti 2.01, 3 Mn 2.03-2.06, 2 Li 2.05-2.10
O: 0.7350 0.3576 0.1224  3 Mn 1.96-2.12, 2 Li 2.09
O: 0.7775 0.6289 0.8652  2 Mn 2.01-2.05, 2 Li 2.03-2.06, 1 Ti 2.05
O: 0.2240 0.8496 0.1258  2 Mn 1.95, 2 Li 2.10, 1 Ti 2.16
O: 0.7419 0.1184 0.3792  1 Ti 2.01, 3 Mn 2.03-2.06, 2 Li 2.05-2.10
O: 0.2635 0.1428 0.8652  2 Mn 2.01-2.05, 2 Li 2.03-2.07, 1 Ti 2.05
O: 0.2650 0.6424 0.8776  3 Mn 1.96-2.12, 2 Li 2.09
Mn: 0.0000 0.5000 0.0000  6 O 2.01-2.24
Mn: 0.0000 0.0000 0.5000  6 O 2.04-2.05
Mn: 0.0000 0.0000 0.0000  4 O 1.95-1.96
Mn: 0.5161 0.7605 0.7442  6 O 2.03-2.12
Mn: 0.5000 0.0000 0.5000  6 O 1.99-2.03
Mn: 0.5000 0.5000 0.0000  4 O 1.95-1.96
Mn: 0.0000 0.5000 0.5000  6 O 1.99-2.03
Mn: 0.4839 0.2395 0.2558  6 O 2.03-2.12
Li: 0.9905 0.2379 0.2504  6 O 2.03-2.14
Li: 0.5000 0.5000 0.5000  6 O 2.02-2.05
Li: 0.4878 0.7407 0.2504  6 O 2.03-2.14
Li: 0.0095 0.7621 0.7496  6 O 2.03-2.14
Li: 0.5000 0.0000 0.0000  4 O 2.06-2.07
Li: 0.5122 0.2593 0.7496  6 O 2.03-2.14
Ti: 0.9681 0.7378 0.2700  6 O 1.94-2.16
Ti: 0.0319 0.2622 0.7300  6 O 1.94-2.16

Model b:
# Li3TiMn4O8

A PBEsol-optimized structure of Li3TiMn4O8 (meta-GGA SCAN, the Alexandria database).

Calculated values
As for the symmetry: C2/m (12). Its total magnetization is 16.72 μB per cell.

Lattice parameters (Å, degrees): 6.0246 6.0246 5.8036 60.32 60.32 56.21
With the nearest neighbours (Å) after each atom.
Atoms (fractional coordinates):
O: 0.7378 0.2343 0.2691  2 Mn 2.01-2.06, 1 Ti 2.02, 2 Li 2.05-2.08
O: 0.2665 0.2665 0.7545  2 Mn 1.95, 1 Ti 2.06, 2 Li 2.13
O: 0.2622 0.7657 0.7309  2 Mn 2.01-2.06, 1 Ti 2.02, 2 Li 2.05-2.08
O: 0.7657 0.2622 0.7309  2 Mn 2.01-2.06, 1 Ti 2.02, 2 Li 2.05-2.08
O: 0.7335 0.7335 0.2455  2 Mn 1.95, 1 Ti 2.06, 2 Li 2.13
O: 0.7401 0.7401 0.7794  3 Mn 1.95-2.12, 2 Li 2.11
O: 0.2343 0.7378 0.2691  2 Mn 2.01-2.06, 1 Ti 2.02, 2 Li 2.05-2.08
O: 0.2599 0.2599 0.2206  3 Mn 1.95-2.12, 2 Li 2.11
Ti: 0.5000 0.5000 0.5000  6 O 2.02-2.06
Li: 0.5000 0.0000 0.5000  6 O 2.08-2.13
Li: 0.0000 0.5000 0.5000  6 O 2.08-2.13
Li: 0.0000 0.0000 0.0000  4 O 2.05
Mn: 0.5000 0.5000 0.0000  6 O 2.06-2.12
Mn: 0.5000 0.0000 0.0000  4 O 1.95
Mn: 0.0000 0.5000 0.0000  4 O 1.95
Mn: 0.0000 0.0000 0.5000  4 O 2.01

Ranked by calculated energy, most stable first: model b, model a.

Model a:
# Li2TiMnO4

A PBEsol-optimized structure of Li2TiMnO4 (meta-GGA SCAN, the Alexandria database).

Calculated values
As for the symmetry: I-4m2 (119). Its total magnetization is 3.98 μB per cell.

Lattice parameters (Å, degrees): 4.0161 4.0161 5.1351 113.02 113.02 90.00
With the nearest neighbours (Å) after each atom.
Atoms (fractional coordinates):
Li: 0.7500 0.2500 0.5000  6 O 2.01-2.24
Li: 0.0000 0.0000 0.0000  6 O 2.01-2.14
Mn: 0.5000 0.5000 0.0000  6 O 2.01-2.14
Ti: 0.2500 0.7500 0.5000  6 O 2.01-2.03
O: 0.7503 0.7503 0.5007  3 Li 2.01-2.14, 2 Ti 2.01, 1 Mn 2.14
O: 0.4877 0.9877 0.9754  2 Mn 2.01, 3 Li 2.01-2.24, 1 Ti 2.03
O: 0.2497 0.2497 0.4993  3 Li 2.01-2.14, 2 Ti 2.01, 1 Mn 2.14
O: 0.0123 0.5123 0.0246  2 Mn 2.01, 3 Li 2.01-2.24, 1 Ti 2.03

Model b:
# Li2TiMnO4

A PBEsol-optimized structure of Li2TiMnO4 (meta-GGA SCAN, the Alexandria database).

Calculated values
As for the symmetry: Imma (74). Its total magnetization is 9.99 μB per cell.

Lattice parameters (Å, degrees): 5.8237 5.9733 5.8450 119.29 90.00 119.17
With the nearest neighbours (Å) after each atom.
Atoms (fractional coordinates):
O: 0.2422 0.9627 0.2314  1 Ti 2.00, 2 Mn 2.03, 2 Li 2.11
O: 0.2447 0.4895 0.7598  2 Ti 2.00, 3 Li 2.12-2.13, 1 Mn 2.21
O: 0.2447 0.4895 0.2297  2 Ti 2.00, 3 Li 2.12-2.13, 1 Mn 2.21
O: 0.2795 0.0373 0.7686  1 Ti 2.00, 2 Mn 2.03, 2 Li 2.11
O: 0.7205 0.9627 0.2314  1 Ti 2.00, 2 Mn 2.03, 2 Li 2.11
O: 0.7553 0.5105 0.7703  2 Ti 2.00, 3 Li 2.12-2.13, 1 Mn 2.21
O: 0.7553 0.5105 0.2402  2 Ti 2.00, 3 Li 2.12-2.13, 1 Mn 2.21
O: 0.7578 0.0373 0.7686  1 Ti 2.00, 2 Mn 2.03, 2 Li 2.11
Ti: 0.5000 0.5000 0.0000  6 O 2.00
Ti: 0.0000 0.5000 0.0000  6 O 2.00
Li: 0.0000 0.0000 0.0000  6 O 2.11-2.12
Li: 0.0000 0.5000 0.5000  6 O 2.13-2.32
Li: 0.0000 0.0000 0.5000  6 O 2.11-2.12
Li: 0.5000 0.5000 0.5000  6 O 2.13-2.32
Mn: 0.5000 0.0000 0.5000  6 O 2.03-2.21
Mn: 0.5000 0.0000 0.0000  6 O 2.03-2.21

Ranked by calculated energy, most stable first: model a, model b.

Model a:
# Li2TiMn3O8

A PBEsol-optimized structure of Li2TiMn3O8 (meta-GGA SCAN, the Alexandria database).

Calculated values
As for the symmetry: R-3m (166). Its total magnetization is 7.00 μB per cell.

Lattice parameters (Å, degrees): 5.7580 5.7580 5.7580 59.49 59.49 59.49
With the nearest neighbours (Å) after each atom.
Atoms (fractional coordinates):
O: 0.7420 0.2844 0.7420  1 Li 1.91, 2 Mn 1.92, 1 Ti 1.97
O: 0.7365 0.7365 0.7365  3 Mn 1.92, 1 Li 1.98
O: 0.7156 0.2580 0.2580  1 Li 1.91, 2 Mn 1.92, 1 Ti 1.97
O: 0.7420 0.7420 0.2844  1 Li 1.91, 2 Mn 1.92, 1 Ti 1.97
O: 0.2580 0.2580 0.7156  1 Li 1.91, 2 Mn 1.92, 1 Ti 1.97
O: 0.2635 0.2635 0.2635  3 Mn 1.92, 1 Li 1.98
O: 0.2580 0.7156 0.2580  1 Li 1.91, 2 Mn 1.92, 1 Ti 1.97
O: 0.2844 0.7420 0.7420  1 Li 1.91, 2 Mn 1.92, 1 Ti 1.97
Mn: 0.0000 0.5000 0.5000  6 O 1.92
Mn: 0.5000 0.0000 0.5000  6 O 1.92
Mn: 0.5000 0.5000 0.0000  6 O 1.92
Ti: 0.5000 0.5000 0.5000  6 O 1.97
Li: 0.1240 0.1240 0.1240  4 O 1.91-1.98
Li: 0.8760 0.8760 0.8760  4 O 1.91-1.98

Model b:
# Li2TiMn3O8

A PBEsol-optimized structure of Li2TiMn3O8 (meta-GGA SCAN, the Alexandria database).

Calculated values
As for the symmetry: P-1 (2). Its total magnetization is 33.00 μB per cell.

Lattice parameters (Å, degrees): 5.6500 8.7095 10.2080 114.78 105.31 89.97
With the nearest neighbours (Å) after each atom.
Atoms (fractional coordinates):
O: 0.3382 0.5867 0.6913  2 Mn 1.90, 1 Li 2.12
O: 0.8530 0.0765 0.1870  1 Ti 1.89, 1 Mn 1.92, 1 Li 2.06
O: 0.5021 0.7911 0.5195  2 Mn 1.91-1.92, 1 Ti 1.99, 1 Li 2.10
O: 0.6618 0.4133 0.3087  2 Mn 1.90, 1 Li 2.12
O: 0.0278 0.2543 0.0235  2 Mn 1.89-1.91
O: 0.6427 0.8735 0.8132  2 Mn 1.91-1.92, 1 Ti 1.98
O: 0.9722 0.7457 0.9765  2 Mn 1.89-1.91
O: 0.3170 0.0803 0.6426  2 Mn 1.89-1.90, 1 Li 2.12
O: 0.8208 0.5810 0.1438  1 Mn 1.90, 1 Ti 1.91, 1 Li 2.09
O: 0.3573 0.1265 0.1868  2 Mn 1.91-1.92, 1 Ti 1.98
O: 0.4979 0.2089 0.4805  2 Mn 1.91-1.92, 1 Ti 1.99, 1 Li 2.10
O: 0.6798 0.4519 0.8484  2 Mn 1.93-1.95, 1 Ti 1.97, 1 Li 2.10
O: 0.1783 0.9468 0.3547  2 Mn 1.91-1.93, 1 Ti 2.00
O: 0.3202 0.5481 0.1516  2 Mn 1.93-1.95, 1 Ti 1.97, 1 Li 2.10
O: 0.1524 0.3854 0.3107  2 Mn 1.91-1.92, 1 Ti 2.03
O: 0.4860 0.7188 0.9799  2 Mn 1.92-1.93, 1 Ti 2.00
O: 0.0076 0.7449 0.5229  1 Ti 1.89, 1 Mn 1.91, 1 Li 2.05
O: 0.5140 0.2812 0.0201  2 Mn 1.92-1.93, 1 Ti 2.00
O: 0.8476 0.6146 0.6893  2 Mn 1.91-1.92, 1 Ti 2.03
O: 0.9924 0.2551 0.4771  1 Ti 1.89, 1 Mn 1.91, 1 Li 2.05
O: 0.1470 0.9235 0.8130  1 Ti 1.89, 1 Mn 1.92, 1 Li 2.06
O: 0.1792 0.4190 0.8562  1 Mn 1.90, 1 Ti 1.91, 1 Li 2.09
O: 0.6830 0.9197 0.3574  2 Mn 1.89-1.90, 1 Li 2.12
O: 0.8217 0.0532 0.6453  2 Mn 1.91-1.93, 1 Ti 2.00
Li: 0.3598 0.3331 0.6660  6 O 2.10-2.30
Li: 0.0000 0.0000 0.0000  6 O 2.13-2.27
Li: 0.8277 0.8301 0.1635  6 O 2.06-2.25
Li: 0.6402 0.6669 0.3340  6 O 2.10-2.30
Li: 0.1723 0.1699 0.8365  6 O 2.06-2.25
Li: 0.0000 0.5000 0.5000  6 O 2.05-2.20
Mn: 0.5000 0.0000 0.5000  6 O 1.90-1.93
Mn: 0.3402 0.3374 0.1707  6 O 1.89-1.93
Mn: 0.6598 0.6626 0.8293  6 O 1.89-1.93
Mn: 0.8364 0.3324 0.1621  4 O 1.90-1.92
Mn: 0.1636 0.6676 0.8379  4 O 1.90-1.92
Mn: 0.0000 0.0000 0.5000  4 O 1.89-1.91
Mn: 0.0000 0.5000 0.0000  4 O 1.90-1.95
Mn: 0.3269 0.8322 0.6669  4 O 1.91-1.92
Mn: 0.6731 0.1678 0.3331  4 O 1.91-1.92
Ti: 0.5000 0.5000 0.0000  6 O 1.91-2.00
Ti: 0.1661 0.1642 0.3319  6 O 1.89-2.03
Ti: 0.8339 0.8358 0.6681  6 O 1.89-2.03

Ranked by calculated energy, most stable first: model a, model b.

Model a:
# Li3TiMn3O8

A PBEsol-optimized structure of Li3TiMn3O8 (meta-GGA SCAN, the Alexandria database).

Calculated values
As for the symmetry: Cc (9). Its total magnetization is 24.00 μB per cell.

Lattice parameters (Å, degrees): 5.7533 5.7533 9.5270 92.58 92.58 117.88
With the nearest neighbours (Å) after each atom.
Atoms (fractional coordinates):
O: 0.4782 0.9519 0.8400  2 Mn 1.93-1.95, 2 Li 1.96-2.00
O: 0.1964 0.3341 0.0927  1 Ti 1.87, 1 Mn 1.94
O: 0.4699 0.4909 0.8492  1 Mn 1.89, 2 Li 1.96-1.98, 1 Ti 2.02
O: 0.9729 0.9850 0.3251  2 Mn 1.91-1.92, 2 Li 2.02-2.04
O: 0.0339 0.4957 0.8508  1 Mn 1.91, 2 Li 1.95-1.97, 1 Ti 1.96
O: 0.2007 0.8534 0.0910  1 Ti 1.89, 1 Mn 1.95
O: 0.6900 0.8354 0.0899  2 Mn 1.97, 1 Ti 1.99, 1 Li 2.17
O: 0.8534 0.2007 0.5910  1 Ti 1.89, 1 Mn 1.95
O: 0.3341 0.1964 0.5927  1 Ti 1.87, 1 Mn 1.94
O: 0.6961 0.3369 0.0951  2 Mn 1.90-1.91, 2 Li 2.09-2.11
O: 0.9519 0.4782 0.3400  2 Mn 1.93-1.95, 2 Li 1.96-2.00
O: 0.4909 0.4699 0.3492  1 Mn 1.89, 2 Li 1.96-1.98, 1 Ti 2.02
O: 0.8354 0.6900 0.5899  2 Mn 1.97, 1 Ti 1.99, 1 Li 2.17
O: 0.4957 0.0339 0.3508  1 Mn 1.91, 2 Li 1.95-1.97, 1 Ti 1.96
O: 0.3369 0.6961 0.5951  2 Mn 1.90-1.91, 2 Li 2.09-2.11
O: 0.9850 0.9729 0.8251  2 Mn 1.91-1.92, 2 Li 2.02-2.04
Li: 0.6507 0.8311 0.4367  4 O 1.95-2.17
Li: 0.1664 0.8330 0.4435  4 O 1.97-2.09
Li: 0.1671 0.3596 0.4504  6 O 1.96-2.17
Li: 0.3596 0.1671 0.9504  6 O 1.96-2.17
Li: 0.8311 0.6507 0.9367  4 O 1.95-2.17
Li: 0.8330 0.1664 0.9435  4 O 1.97-2.09
Mn: 0.3385 0.1697 0.2195  4 O 1.89-1.95
Mn: 0.8343 0.6588 0.2111  4 O 1.91-1.97
Mn: 0.8308 0.1623 0.2132  4 O 1.90-1.97
Mn: 0.1623 0.8308 0.7132  4 O 1.90-1.97
Mn: 0.6588 0.8343 0.7111  4 O 1.91-1.97
Mn: 0.1697 0.3385 0.7195  4 O 1.89-1.95
Ti: 0.3269 0.6426 0.9968  5 O 1.87-2.02
Ti: 0.6426 0.3269 0.4968  5 O 1.87-2.02

Model b:
# Li3TiMn3O8

A PBEsol-optimized structure of Li3TiMn3O8 (meta-GGA SCAN, the Alexandria database).

Calculated values
As for the symmetry: P-1 (2). Its total magnetization is 12.00 μB per cell.

Lattice parameters (Å, degrees): 5.7618 5.8524 5.9047 118.22 117.92 92.05
With the nearest neighbours (Å) after each atom.
Atoms (fractional coordinates):
Mn: 0.5000 0.5000 0.5000  4 O 1.91-1.94
Mn: 0.5000 0.0000 0.0000  4 O 1.92-1.95
Mn: 0.0000 0.5000 0.5000  4 O 1.91-1.96
O: 0.7776 0.2512 0.0488  2 Mn 1.95-1.96, 1 Ti 1.99, 1 Li 2.11
O: 0.2532 0.2253 0.4484  1 Mn 1.91, 1 Ti 1.95, 1 Li 1.99
O: 0.2467 0.7101 0.4835  2 Mn 1.91-1.94, 2 Li 2.11-2.13
O: 0.7524 0.7937 0.0231  1 Mn 1.92, 1 Ti 1.93, 1 Li 2.08
O: 0.7533 0.2899 0.5165  2 Mn 1.91-1.94, 2 Li 2.11-2.13
O: 0.7468 0.7747 0.5516  1 Mn 1.91, 1 Ti 1.95, 1 Li 1.99
O: 0.2224 0.7488 0.9512  2 Mn 1.95-1.96, 1 Ti 1.99, 1 Li 2.11
O: 0.2476 0.2063 0.9769  1 Mn 1.92, 1 Ti 1.93, 1 Li 2.08
Li: 0.0000 0.0000 0.5000  6 O 2.08-2.25
Li: 0.5000 0.0000 0.5000  4 O 1.99-2.13
Li: 0.0000 0.5000 0.0000  6 O 2.11-2.27
Ti: 0.0000 0.0000 0.0000  6 O 1.93-1.99

Ranked by calculated energy, most stable first: model a, model b.

Model a:
# LiMnOs2

A PBEsol-optimized structure of LiMnOs2 (meta-GGA SCAN, the Alexandria database).

Calculated values
As for the symmetry: P4/mmm (123). Its total magnetization is 2.61 μB per cell.

Lattice parameters (Å, degrees): 3.8007 3.6716 3.6716 90.00 90.00 90.00
With the nearest neighbours (Å) after each atom.
Atoms (fractional coordinates):
Os: 0.0000 0.0000 0.5000  4 Os 2.60, 4 Mn 2.64, 4 Li 2.64
Os: 0.0000 0.5000 0.0000  4 Os 2.60, 4 Mn 2.64, 4 Li 2.64
Li: 0.5000 0.5000 0.5000  4 Mn 2.60, 8 Os 2.64
Mn: 0.5000 0.0000 0.0000  4 Li 2.60, 8 Os 2.64

Model b:
# LiMnOs2

A PBEsol-optimized structure of LiMnOs2 (meta-GGA SCAN, the Alexandria database).

Calculated values
As for the symmetry: Imm2 (44). Its total magnetization is 0.02 μB per cell.

Lattice parameters (Å, degrees): 2.8430 4.0879 4.8285 115.04 107.12 90.00
With the nearest neighbours (Å) after each atom.
Atoms (fractional coordinates):
Os: 0.9929 0.9929 0.9859  4 Li 2.49, 2 Mn 2.50, 2 Os 2.59
Os: 0.7548 0.2548 0.5096  4 Mn 2.49, 2 Li 2.53, 2 Os 2.59
Li: 0.5077 0.5077 0.0154  2 Mn 2.42, 6 Os 2.49-2.53
Mn: 0.2446 0.7446 0.4891  2 Li 2.42, 6 Os 2.49-2.50

Ranked by calculated energy, most stable first: model a, model b.